! PBE CdSi, relaxed; values from VASP
! Formation energy from raw total energies = 0.352 eV per atom
! Raw total energy = -11.3 eV per cell
! ρ = 5.403 g cm⁻³
! N(E_F) = 0.5 states/eV/f.u.
&SYSTEM
  ibrav = 0, nat = 4, ntyp = 2
/
ATOMIC_SPECIES
Si 28.09 Si.upf
Cd 112.41 Cd.upf
CELL_PARAMETERS angstrom
4.4995 0.0000 0.0000
-2.2498 3.8967 0.0000
0.0000 0.0000 4.9259
ATOMIC_POSITIONS angstrom
Si 0.0000 0.0000 0.0000
Si 0.0000 0.0000 2.4629
Cd 2.2498 1.2989 3.6944
Cd 0.0000 2.5978 1.2315

! PBE MgBPd3, relaxed; values from VASP
! Excess energy over the best structure of this formula in the dataset = 129 meV per atom
! Raw total energy = -102.5 eV per cell
! ρ = 7.968 g cm⁻³
! N(E_F) = 1.3 states/eV/f.u.
! Formation energy = -0.356 eV/atom
&SYSTEM
  ibrav = 0, nat = 20, ntyp = 3
/
ATOMIC_SPECIES
Pd 106.42 Pd.upf
Mg 24.30 Mg.upf
B 10.81 B.upf
CELL_PARAMETERS angstrom
-0.2061 -20.5411 4.4990
1.8967 1.0752 4.9960
-2.3375 8.0307 -0.8409
ATOMIC_POSITIONS angstrom
Pd -0.9817 -6.6754 5.1042
Pd -0.4500 0.7584 2.4465
Pd -0.5684 -8.7947 3.1016
Pd 0.6722 -17.1049 7.3929
Pd 0.0085 -13.8717 3.5170
Pd -0.6554 2.4365 5.1371
Pd 1.0337 0.0013 5.2337
Pd 0.3347 -4.7598 3.5500
Pd -1.3192 5.6697 1.2613
Pd -1.6807 -11.4365 3.4205
Pd -0.0785 -2.6405 5.5525
Pd -0.1969 -12.1936 6.2076
Mg 0.7614 -8.5594 5.6258
Mg -0.5900 -17.3019 5.0466
Mg -0.0569 5.8667 3.6075
Mg -1.4084 -2.8758 3.0283
B 0.9534 1.5569 3.7981
B -0.3065 -6.7244 3.0849
B -1.6003 -12.9921 4.8560
B -0.3404 -4.7108 5.5692

Look up the ρ of the second one.
7.968 g cm⁻³

N(E_F) of number 1 (CdSi)?
0.5 states/eV/f.u.

What is the raw total energy in the second record?
-102.5 eV per cell